Record 1
PBE-GGA Tl2TcSb, relaxed; ΔE to the lowest computed polymorph = 206 kJ/mol of formula units; E = -4.0590 eV per atom; total moment = 2.44 μB/cell; density of states at the Fermi level = 2.99 states/eV/f.u.; space group = No. 65; calculated volume = 23.88 Å³ per atom
1.0
5.608 0.067 0.000
-2.152 5.179 0.000
0.000 0.000 3.273
Sb Tc Tl
1 1 2
Direct
0.500 0.000 0.500
0.000 0.500 0.500
0.000 0.000 0.000
0.500 0.500 0.000



Record 2
PBE-GGA Tl2TcSb, relaxed; ΔE to the lowest computed polymorph = 192 kJ/mol of formula units; E = -4.0960 eV per atom; total moment = 1.96 μB/cell; density of states at the Fermi level = 3.16 states/eV/f.u.; space group = No. 47; calculated volume = 23.73 Å³ per atom
1.0
3.390 0.000 0.000
0.000 5.100 0.000
0.000 0.000 5.491
Sb Tc Tl
1 1 2
Direct
0.500 0.000 0.500
0.000 0.500 0.500
0.000 0.000 0.000
0.500 0.500 0.000



Record 3
PBE-GGA Tl2TcSb, relaxed; ΔE to the lowest computed polymorph = 0 kJ/mol of formula units; E = -4.5939 eV per atom; total moment = 0.00 μB/cell; density of states at the Fermi level = 3.03 states/eV/f.u.; space group = No. 99; calculated volume = 24.39 Å³ per atom
1.0
-0.081 -1.666 2.845
2.382 -1.997 -1.102
6.200 5.516 3.405
Sb Tc Tl
1 1 2
Direct
0.000 0.000 0.570
0.500 0.500 0.732
0.000 0.000 0.947
0.500 0.500 0.252



Record 4
PBE-GGA Tl2TcSb, relaxed; ΔE to the lowest computed polymorph = 192 kJ/mol of formula units; E = -4.0975 eV per atom; total moment = 2.89 μB/cell; density of states at the Fermi level = 3.02 states/eV/f.u.; space group = No. 139; calculated volume = 24.92 Å³ per atom
1.0
-1.765 2.447 5.481
2.153 -2.137 5.472
2.095 1.803 -5.613
Sb Tc Tl
1 1 2
Direct
0.250 0.750 0.500
0.750 0.250 0.500
0.000 0.000 0.000
0.500 0.500 0.000